## w
Entry from Alexandria: a relaxed Ge2Ir2Au crystal (PBE).

abc: 3.839 3.839 6.372
angles: 72.47 72.47 90.00
Element x y z (fractional)
1 Ir 0.385 0.385 0.230
2 Ir 0.615 0.615 0.770
3 Au 0.000 0.000 0.000
4 Ge 0.250 0.750 0.500
5 Ge 0.750 0.250 0.500

Calculated values
* Fermi-level density of states: 1.09 states/eV per cell
* SG: I4/mmm, No. 139
* calculated volume: 85.0 Å³/cell
* size of the total moment: 0.0 μB/f.u.
* crystal system: tetragonal

## x
Entry from Alexandria: a relaxed Ge2Ir2Au crystal (PBE).

abc: 7.421 7.421 2.865
angles: 90.00 90.00 90.00
Element x y z (fractional)
1 Ir 0.357 0.143 0.500
2 Ir 0.643 0.857 0.500
3 Au 0.000 0.000 0.000
4 Ge 0.348 0.848 0.000
5 Au 0.500 0.500 0.000
6 Ir 0.857 0.357 0.500
7 Ge 0.848 0.652 0.000
8 Ge 0.152 0.348 0.000
9 Ir 0.143 0.643 0.500
10 Ge 0.652 0.152 0.000

Calculated values
* Fermi-level density of states: 3.75 states/eV per cell
* SG: P4/mbm, No. 127
* calculated volume: 157.8 Å³/cell
* size of the total moment: 0.0 μB/f.u.
* crystal system: tetragonal

w comes first in stability; the runner-up is 6.9 kJ/mol of atoms higher.

## w
Entry from Alexandria: a relaxed GeIr3Au crystal (PBE).

abc: 4.885 4.885 4.885
angles: 90.00 90.00 90.00
Last column: magnetic moment on the atom in μB.
Element x y z (fractional)
1 Ir 0.000 0.000 0.500  1.23
2 Ir 0.000 0.500 0.000  0.90
3 Ge 0.500 0.500 0.500  -0.02
4 Au 0.000 0.000 0.000  0.19
5 Ir 0.500 0.000 0.000  0.64

Calculated values
* Fermi-level density of states: 11.07 states/eV per cell
* SG: Pm-3m, No. 221
* calculated volume: 116.6 Å³/cell
* size of the total moment: 3.0 μB/f.u.
* crystal system: cubic

## x
Entry from Alexandria: a relaxed GeIr3Au crystal (PBE).

abc: 4.559 4.559 4.559
angles: 90.00 90.00 90.00
Last column: magnetic moment on the atom in μB.
Element x y z (fractional)
1 Au 0.500 0.500 0.500  0.08
2 Ir 0.500 0.000 0.000  0.36
3 Ir 0.000 0.500 0.000  0.32
4 Ir 0.000 0.000 0.500  0.44
5 Ge 0.000 0.000 0.000  -0.01

Calculated values
* Fermi-level density of states: 9.70 states/eV per cell
* SG: Pm-3m, No. 221
* calculated volume: 94.8 Å³/cell
* size of the total moment: 1.2 μB/f.u.
* crystal system: cubic

x comes first in stability; the runner-up is 98.8 kJ/mol of atoms higher.

## w
Entry from Alexandria: a relaxed K3GeAu crystal (PBE).

abc: 7.813 7.813 8.335
angles: 110.89 118.38 96.46
Element x y z (fractional)
1 K 0.722 0.448 0.169
2 K 0.765 0.588 0.751
3 K 0.838 0.015 0.249
4 Ge 0.697 0.074 0.770
5 K 0.162 0.985 0.751
6 K 0.278 0.552 0.831
7 Ge 0.303 0.926 0.230
8 Au 0.398 0.181 0.579
9 Au 0.602 0.819 0.421
10 K 0.235 0.412 0.249

Calculated values
* Fermi-level density of states: 5.28 states/eV per cell
* SG: C2/m, No. 12
* calculated volume: 392.9 Å³/cell
* size of the total moment: 0.0 μB/f.u.
* crystal system: monoclinic

## x
Entry from Alexandria: a relaxed K3GeAu crystal (PBE).

abc: 6.229 6.229 6.229
angles: 90.00 90.00 90.00
Last column: magnetic moment on the atom in μB.
Element x y z (fractional)
1 Ge 0.500 0.500 0.500  0.61
2 K 0.000 0.000 0.500  0.01
3 K 0.500 0.000 0.000  0.01
4 Au 0.000 0.000 0.000  0.01
5 K 0.000 0.500 0.000  0.01

Calculated values
* Fermi-level density of states: 4.42 states/eV per cell
* SG: Pm-3m, No. 221
* calculated volume: 241.7 Å³/cell
* size of the total moment: 2.0 μB/f.u.
* crystal system: cubic

w comes first in stability; the runner-up is 25.1 kJ/mol of atoms higher.

## w
Entry from Alexandria: a relaxed K3GeAu4 crystal (PBE).

abc: 6.528 6.900 6.900
angles: 74.40 61.76 61.76
Element x y z (fractional)
1 Au 0.806 0.933 0.455
2 Au 0.806 0.455 0.933
3 Au 0.883 0.331 0.331
4 Au 0.456 0.331 0.331
5 K 0.419 0.319 0.843
6 Ge 0.979 0.521 0.521
7 K 0.081 0.919 0.919
8 K 0.419 0.843 0.319

Calculated values
* Fermi-level density of states: 2.54 states/eV per cell
* SG: Imm2, No. 44
* calculated volume: 240.8 Å³/cell
* size of the total moment: 0.0 μB/f.u.
* crystal system: orthorhombic

## x
Entry from Alexandria: a relaxed K3GeAu4 crystal (PBE).

abc: 6.800 6.800 6.800
angles: 124.42 102.56 102.56
Element x y z (fractional)
1 K 0.000 0.000 0.000
2 Au 0.576 0.288 0.288
3 Au 0.000 0.712 0.288
4 Au 0.000 0.288 0.712
5 K 0.500 0.250 0.750
6 K 0.500 0.750 0.250
7 Ge 0.000 0.500 0.500
8 Au 0.424 0.712 0.712

Calculated values
* Fermi-level density of states: 2.88 states/eV per cell
* SG: I4/mmm, No. 139
* calculated volume: 229.5 Å³/cell
* size of the total moment: 0.0 μB/f.u.
* crystal system: tetragonal

w comes first in stability; the runner-up is 21.5 kJ/mol of atoms higher.